# 1
The following is a PBE calculation of crystalline Li2Si at its relaxed geometry, from Alexandria.

Summary:
- E_form (uncorrected) (meV per atom) = -98
- symmetry = No. 8

Cell lengths 5.183, 5.183, 6.315 Å; angles 74.06, 74.06, 32.56 degrees
Element x y z (fractional)
Li1 0.991 0.991 0.995
Li2 0.332 0.332 0.349
Li3 0.659 0.659 0.690
Li4 0.617 0.617 0.265
Si1 0.945 0.945 0.601
Si2 0.289 0.289 0.933

# 2
The following is a PBE calculation of crystalline ScCdBr2 at its relaxed geometry, from Alexandria.

Summary:
- ΔE to the lowest computed polymorph (eV per atom) = 0.086
- E_form (uncorrected) (meV per atom) = -923
- symmetry = No. 8

Cell lengths 7.255, 7.255, 7.185 Å; angles 51.18, 51.18, 28.72 degrees
Element x y z (fractional)
Br1 0.902 0.902 0.120
Br2 0.744 0.744 0.839
Cd1 0.559 0.559 0.507
Sc1 0.295 0.295 0.035

# 3
The following is a PBE calculation of crystalline YMg4 at its relaxed geometry, from Alexandria.

Summary:
- ΔE to the lowest computed polymorph (eV per atom) = 0.094
- formation energy from the elements (eV per atom) = 0.074
- symmetry = No. 217

Cell lengths 8.756, 8.756, 8.756 Å; angles 109.47, 109.47, 109.47 degrees
Element x y z (fractional)
Y1 0.574 0.000 0.000
Y2 0.000 0.574 0.000
Y3 0.426 0.426 0.426
Y4 0.000 0.000 0.574
Mg1 0.211 0.000 0.000
Mg2 0.000 0.211 0.000
Mg3 0.789 0.789 0.789
Mg4 0.000 0.000 0.211
Mg5 0.348 0.000 0.348
Mg6 0.652 0.000 0.652
Mg7 0.000 0.652 0.652
Mg8 0.000 0.348 0.348
Mg9 0.348 0.348 0.000
Mg10 0.652 0.652 0.000
Mg11 0.250 0.500 0.750
Mg12 0.750 0.500 0.250
Mg13 0.500 0.250 0.750
Mg14 0.500 0.750 0.250
Mg15 0.750 0.250 0.500
Mg16 0.250 0.750 0.500

# 4
The following is a PBE calculation of crystalline CsK2AsF at its relaxed geometry, from Alexandria.

Summary:
- E_form (uncorrected) (meV per atom) = -1172
- symmetry = No. 123

Cell lengths 5.317, 5.317, 5.823 Å; angles 90.00, 90.00, 90.00 degrees
Each line ends with the local moment (μB).
Element x y z (fractional)
Cs1 0.000 0.000 0.500  0.03
As1 0.500 0.500 0.500  0.37
K1 0.000 0.500 0.000  0.00
K2 0.500 0.000 0.000  0.00
F1 0.000 0.000 0.000  0.00

# 5
The following is a PBE calculation of crystalline Zr3AlGa at its relaxed geometry, from Alexandria.

Summary:
- ΔE to the lowest computed polymorph (eV per atom) = 0.000
- formation energy from the elements (eV per atom) = -0.224
- symmetry = No. 15

Cell lengths 5.919, 5.919, 13.276 Å; angles 83.72, 83.72, 63.75 degrees
Element x y z (fractional)
Zr1 0.669 0.965 0.794
Zr2 0.035 0.331 0.706
Zr3 0.331 0.035 0.206
Zr4 0.965 0.669 0.294
Zr5 0.567 0.842 0.594
Zr6 0.158 0.433 0.906
Zr7 0.433 0.158 0.406
Zr8 0.842 0.567 0.094
Zr9 0.156 0.932 0.887
Zr10 0.068 0.844 0.613
Zr11 0.932 0.156 0.387
Zr12 0.844 0.068 0.113
Al1 0.677 0.421 0.914
Al2 0.579 0.323 0.586
Al3 0.323 0.579 0.086
Al4 0.421 0.677 0.414
Ga1 0.000 0.500 0.500
Ga2 0.500 0.000 0.000
Ga3 0.545 0.455 0.250
Ga4 0.455 0.545 0.750

# 6
The following is a PBE calculation of crystalline V4Bi3 at its relaxed geometry, from Alexandria.

Summary:
- ΔE to the lowest computed polymorph (eV per atom) = 0.000
- formation energy from the elements (eV per atom) = 0.259
- symmetry = No. 12

Cell lengths 7.227, 7.227, 10.638 Å; angles 70.99, 70.99, 34.14 degrees
Each line ends with the local moment (μB).
Element x y z (fractional)
V1 0.440 0.440 0.646  -0.43
V2 0.560 0.560 0.354  -0.43
V3 0.209 0.209 0.848  1.92
V4 0.791 0.791 0.152  1.92
V5 0.637 0.637 0.524  0.87
V6 0.363 0.363 0.476  0.87
V7 0.000 0.000 0.000  0.81
V8 0.000 0.000 0.500  0.16
Bi1 0.786 0.786 0.665  -0.05
Bi2 0.214 0.214 0.335  -0.05
Bi3 0.371 0.371 0.958  -0.08
Bi4 0.629 0.629 0.042  -0.08
Bi5 0.057 0.057 0.725  -0.05
Bi6 0.943 0.943 0.275  -0.05

# 7
The following is a PBE calculation of crystalline PmErZnCo at its relaxed geometry, from Alexandria.

Summary:
- formation energy from the elements (eV per atom) = -0.189
- symmetry = No. 216

Cell lengths 4.919, 4.919, 4.919 Å; angles 60.00, 60.00, 60.00 degrees
Element x y z (fractional)
Zn1 0.750 0.750 0.750
Pm1 0.000 0.000 0.000
Co1 0.250 0.250 0.250
Er1 0.500 0.500 0.500

# 8
The following is a PBE calculation of crystalline P2RhBr at its relaxed geometry, from Alexandria.

Summary:
- ΔE to the lowest computed polymorph (eV per atom) = 0.093
- E_form (uncorrected) (meV per atom) = -110
- symmetry = No. 6

Cell lengths 3.523, 3.774, 7.019 Å; angles 92.55, 90.00, 90.00 degrees
Element x y z (fractional)
Br1 0.500 0.701 0.671
P1 0.000 0.963 0.220
P2 0.500 0.332 0.190
Rh1 0.000 0.504 0.418